Crystalline ErHfAu2 at its relaxed geometry. Source: Alexandria, functional PBE.

CIF file:
```
data_ErHfAu2
_chemical_formula_sum 'Er1 Hf1 Au2'
_cell_length_a 3.398
_cell_length_b 3.398
_cell_length_c 7.320
_cell_angle_alpha 90.00
_cell_angle_beta 90.00
_cell_angle_gamma 90.00
_symmetry_space_group_name_H-M 'P 1'
_symmetry_Int_Tables_number 1
loop_
_symmetry_equiv_pos_as_xyz
'x,y,z'
loop_
_atom_site_label
_atom_site_type_symbol
_atom_site_fract_x
_atom_site_fract_y
_atom_site_fract_z
Er1 Er 0.000 0.000 0.000
Hf1 Hf 0.000 0.000 0.500
Au1 Au 0.500 0.500 0.272
Au2 Au 0.500 0.500 0.728
```

Formation energy from the elements   -622 meV per atom
Crystal system   tetragonal
Calculated total energy   -5.890 eV/atom
SG   P4/mmm

=====

Crystalline BaReAs2 at its relaxed geometry. Source: Alexandria, functional PBE.

CIF file:
```
data_BaReAs2
_chemical_formula_sum 'Ba4 Re4 As8'
_cell_length_a 6.106
_cell_length_b 6.106
_cell_length_c 13.458
_cell_angle_alpha 90.00
_cell_angle_beta 90.00
_cell_angle_gamma 90.00
_symmetry_space_group_name_H-M 'P 1'
_symmetry_Int_Tables_number 1
loop_
_symmetry_equiv_pos_as_xyz
'x,y,z'
loop_
_atom_site_label
_atom_site_type_symbol
_atom_site_fract_x
_atom_site_fract_y
_atom_site_fract_z
Ba1 Ba 0.000 0.000 0.000
Ba2 Ba 0.000 0.500 0.250
Ba3 Ba 0.500 0.000 0.750
Ba4 Ba 0.500 0.500 0.500
Re1 Re 0.000 0.000 0.500
Re2 Re 0.000 0.500 0.750
Re3 Re 0.500 0.000 0.250
Re4 Re 0.500 0.500 0.000
As1 As 0.104 0.250 0.625
As2 As 0.250 0.604 0.875
As3 As 0.250 0.896 0.375
As4 As 0.396 0.250 0.125
As5 As 0.604 0.750 0.125
As6 As 0.750 0.104 0.375
As7 As 0.750 0.396 0.875
As8 As 0.896 0.750 0.625
```

Formation energy from the elements   -144 meV per atom
Crystal system   tetragonal
Calculated total energy   -6.062 eV/atom
SG   I-42d

=====

Crystalline NbHNO2 at its relaxed geometry. Source: Alexandria, functional PBE.

CIF file:
```
data_NbHNO2
_chemical_formula_sum 'Nb1 H1 N1 O2'
_cell_length_a 3.935
_cell_length_b 3.935
_cell_length_c 4.349
_cell_angle_alpha 90.00
_cell_angle_beta 90.00
_cell_angle_gamma 90.00
_symmetry_space_group_name_H-M 'P 1'
_symmetry_Int_Tables_number 1
loop_
_symmetry_equiv_pos_as_xyz
'x,y,z'
loop_
_atom_site_label
_atom_site_type_symbol
_atom_site_fract_x
_atom_site_fract_y
_atom_site_fract_z
Nb1 Nb 0.000 0.000 0.000
H1 H 0.500 0.500 0.500
N1 N 0.000 0.000 0.500
O1 O 0.000 0.500 0.000
O2 O 0.500 0.000 0.000
```

Crystal system   tetragonal
Calculated total energy   -6.656 eV/atom
SG   P4/mmm

=====

Crystalline PmYSnPt at its relaxed geometry. Source: Alexandria, functional PBE.

CIF file:
```
data_PmYSnPt
_chemical_formula_sum 'Pm4 Y4 Sn4 Pt4'
_cell_length_a 7.382
_cell_length_b 7.382
_cell_length_c 7.382
_cell_angle_alpha 90.00
_cell_angle_beta 90.00
_cell_angle_gamma 90.00
_symmetry_space_group_name_H-M 'P 1'
_symmetry_Int_Tables_number 1
loop_
_symmetry_equiv_pos_as_xyz
'x,y,z'
loop_
_atom_site_label
_atom_site_type_symbol
_atom_site_fract_x
_atom_site_fract_y
_atom_site_fract_z
Pm1 Pm 0.000 0.000 0.000
Pm2 Pm 0.000 0.500 0.500
Pm3 Pm 0.500 0.000 0.500
Pm4 Pm 0.500 0.500 0.000
Y1 Y 0.000 0.000 0.500
Y2 Y 0.000 0.500 0.000
Y3 Y 0.500 0.000 0.000
Y4 Y 0.500 0.500 0.500
Sn1 Sn 0.250 0.250 0.250
Sn2 Sn 0.250 0.750 0.750
Sn3 Sn 0.750 0.250 0.750
Sn4 Sn 0.750 0.750 0.250
Pt1 Pt 0.250 0.250 0.750
Pt2 Pt 0.250 0.750 0.250
Pt3 Pt 0.750 0.250 0.250
Pt4 Pt 0.750 0.750 0.750
```

Formation energy from the elements   -826 meV per atom
Crystal system   cubic
Calculated total energy   -6.141 eV/atom
SG   F-43m

=====

Crystalline SrGe3N at its relaxed geometry. Source: Alexandria, functional PBE.

CIF file:
```
data_SrGe3N
_chemical_formula_sum 'Sr1 Ge3 N1'
_cell_length_a 4.633
_cell_length_b 4.633
_cell_length_c 4.633
_cell_angle_alpha 90.00
_cell_angle_beta 90.00
_cell_angle_gamma 90.00
_symmetry_space_group_name_H-M 'P 1'
_symmetry_Int_Tables_number 1
loop_
_symmetry_equiv_pos_as_xyz
'x,y,z'
loop_
_atom_site_label
_atom_site_type_symbol
_atom_site_fract_x
_atom_site_fract_y
_atom_site_fract_z
Sr1 Sr 0.000 0.000 0.000
Ge1 Ge 0.000 0.500 0.500
Ge2 Ge 0.500 0.000 0.500
Ge3 Ge 0.500 0.500 0.000
N1 N 0.500 0.500 0.500
```

Crystal system   cubic
Calculated total energy   -4.391 eV/atom
E_form (uncorrected)   0.381 eV/atom
SG   Pm-3m

=====

Crystalline AlP2SI at its relaxed geometry. Source: Alexandria, functional PBE.

CIF file:
```
data_AlP2SI
_chemical_formula_sum 'Al1 P2 S1 I1'
_cell_length_a 4.896
_cell_length_b 4.896
_cell_length_c 4.445
_cell_angle_alpha 90.00
_cell_angle_beta 90.00
_cell_angle_gamma 90.00
_symmetry_space_group_name_H-M 'P 1'
_symmetry_Int_Tables_number 1
loop_
_symmetry_equiv_pos_as_xyz
'x,y,z'
loop_
_atom_site_label
_atom_site_type_symbol
_atom_site_fract_x
_atom_site_fract_y
_atom_site_fract_z
Al1 Al 0.000 0.000 0.000
P1 P 0.000 0.500 0.000
P2 P 0.500 0.000 0.000
S1 S 0.000 0.000 0.500
I1 I 0.500 0.500 0.500
```

Crystal system   tetragonal
Calculated total energy   -3.508 eV/atom
E_form (uncorrected)   0.540 eV/atom
SG   P4/mmm